Record 1
## CuMo2Rh (GGA-PBEsol)

Data for CuMo2Rh after structural relaxation.

Calculated values
The formation energy comes out at 0.045 eV/atom. The calculation puts the uncorrected energy at -8.96 eV per atom. Its symmetry is Cmmm, No. 65.

a = 5.2505 Å, b = 7.9062 Å, c = 2.6623 Å
α = 90.00°, β = 90.00°, γ = 90.00°
With the nearest neighbours (Å) after each atom.
Fractional coordinates of all 8 atoms:
1 Cu 0.0000 0.0000 0.0000  2 Rh 2.63, 2 Cu 2.66, 8 Mo 2.72
2 Cu 0.5000 0.5000 0.0000  2 Rh 2.63, 2 Cu 2.66, 8 Mo 2.72
3 Mo 0.2500 0.2500 0.5000  4 Mo 2.63-2.66, 4 Cu 2.72, 4 Rh 2.72
4 Mo 0.2500 0.7500 0.5000  4 Mo 2.63-2.66, 4 Cu 2.72, 4 Rh 2.72
5 Mo 0.7500 0.2500 0.5000  4 Mo 2.63-2.66, 4 Cu 2.72, 4 Rh 2.72
6 Mo 0.7500 0.7500 0.5000  4 Mo 2.63-2.66, 4 Cu 2.72, 4 Rh 2.72
7 Rh 0.0000 0.5000 0.0000  2 Cu 2.63, 2 Rh 2.66, 8 Mo 2.72
8 Rh 0.5000 0.0000 0.0000  2 Cu 2.63, 2 Rh 2.66, 8 Mo 2.72

=====

Record 2
## Ba2MnSi (GGA-PBEsol)

Data for Ba2MnSi after structural relaxation.

Calculated values
The calculation puts the uncorrected energy at -4.57 eV per atom. For the uncorrected formation energy, the calculation gives 8.91 kcal/mol of atoms. Its symmetry is P4/mmm, No. 123.

a = 3.9455 Å, b = 3.9455 Å, c = 8.1010 Å
α = 90.00°, β = 90.00°, γ = 90.00°
With the nearest neighbours (Å) after each atom.
Fractional coordinates of all 4 atoms:
1 Ba 0.0000 0.0000 0.2333  4 Si 3.37, 4 Mn 3.53
2 Ba 0.0000 0.0000 0.7667  4 Si 3.37, 4 Mn 3.53
3 Mn 0.5000 0.5000 0.5000  8 Ba 3.53, 4 Mn 3.95
4 Si 0.5000 0.5000 0.0000  8 Ba 3.37

=====

Record 3
## CaZnS3 (GGA-PBEsol)

Data for CaZnS3 after structural relaxation.

Calculated values
The calculation puts the uncorrected energy at -3.94 eV per atom. For the uncorrected formation energy, the calculation gives -13.16 kcal/mol of atoms. Its symmetry is Pm-3m, No. 221.

a = 4.6565 Å, b = 4.6565 Å, c = 4.6565 Å
α = 90.00°, β = 90.00°, γ = 90.00°
With the nearest neighbours (Å) after each atom.
Fractional coordinates of all 5 atoms:
1 Ca 0.0000 0.0000 0.0000  12 S 3.29
2 Zn 0.5000 0.5000 0.5000  6 S 2.33
3 S 0.0000 0.5000 0.5000  2 Zn 2.33
4 S 0.5000 0.0000 0.5000  2 Zn 2.33
5 S 0.5000 0.5000 0.0000  2 Zn 2.33